(1)
# Dy2Tm3LuTe2Os | OQMD via LeMat-Bulk | PBE-GGA | optimized geometry
data_Dy2Tm3LuTe2Os
_cell_length_a 4.030
_cell_length_b 14.374
_cell_length_c 8.119
_cell_angle_alpha 90.00
_cell_angle_beta 90.00
_cell_angle_gamma 90.00
_space_group_name_H-M_alt 'A m m 2'
_space_group_IT_number 38
loop_
_space_group_symop_operation_xyz
'x,y,z'
'-x,-y,z'
'-x,y,z'
'x,-y,z'
'x,y+1/2,z+1/2'
'-x,-y+1/2,z+1/2'
'-x,y+1/2,z+1/2'
'x,-y+1/2,z+1/2'
loop_
_atom_site_label
_atom_site_type_symbol
_atom_site_fract_x
_atom_site_fract_y
_atom_site_fract_z
_atom_site_occupancy
Dy1 Dy 0.000 0.195 0.000 1
Tm1 Tm 0.500 0.000 0.042 1
Tm2 Tm 0.500 0.120 0.687 1
Lu1 Lu 0.000 0.000 0.423 1
Te1 Te 0.500 0.167 0.306 1
Os1 Os 0.000 0.000 0.796 1
# electronic total energy = -5.6857 eV per atom
# M_tot = 0.004 μB/f.u.
# crystal system = orthorhombic



(2)
# Dy2LuP3 | OQMD via LeMat-Bulk | PBE-GGA | optimized geometry
data_Dy2LuP3
_cell_length_a 3.9771
_cell_length_b 3.9771
_cell_length_c 9.7278
_cell_angle_alpha 90.00
_cell_angle_beta 90.00
_cell_angle_gamma 120.00
_space_group_name_H-M_alt 'P -3 m 1'
_space_group_IT_number 164
_space_group_name_Hall '-P 3 2"'
loop_
_atom_site_label
_atom_site_type_symbol
_atom_site_fract_x
_atom_site_fract_y
_atom_site_fract_z
_atom_site_occupancy
Dy1 Dy 0.3333 0.6667 0.3313 1
Lu1 Lu 0.0000 0.0000 0.0000 1
P1 P 0.0000 0.0000 0.5000 1
P2 P 0.3333 0.6667 0.8382 1
# electronic total energy = -6.5960 eV per atom
# M_tot = 0.016 μB/f.u.
# crystal system = trigonal



(3)
# DyLuPb | OQMD via LeMat-Bulk | PBE-GGA | optimized geometry
data_DyLuPb
_cell_length_a 7.231
_cell_length_b 7.231
_cell_length_c 7.231
_cell_angle_alpha 90.00
_cell_angle_beta 90.00
_cell_angle_gamma 90.00
_space_group_name_H-M_alt 'F -4 3 m'
_space_group_IT_number 216
_space_group_name_Hall 'F -4 2 3'
loop_
_atom_site_label
_atom_site_type_symbol
_atom_site_fract_x
_atom_site_fract_y
_atom_site_fract_z
_atom_site_occupancy
Dy1 Dy 0.000 0.000 0.000 1
Lu1 Lu 0.000 0.000 0.500 1
Pb1 Pb 0.250 0.250 0.250 1
# relative energy among the computed polymorphs = 0 meV per atom
# electronic total energy = -4.4118 eV per atom
# M_tot = 0.071 μB/f.u.
# crystal system = cubic



(4)
# DyLuTe3Pb | OQMD via LeMat-Bulk | PBE-GGA | optimized geometry
data_DyLuTe3Pb
_cell_length_a 4.356
_cell_length_b 15.317
_cell_length_c 11.807
_cell_angle_alpha 90.00
_cell_angle_beta 90.00
_cell_angle_gamma 90.00
_space_group_name_H-M_alt 'C m c m'
_space_group_IT_number 63
_space_group_name_Hall '-C 2c 2'
loop_
_atom_site_label
_atom_site_type_symbol
_atom_site_fract_x
_atom_site_fract_y
_atom_site_fract_z
_atom_site_occupancy
Dy1 Dy 0.000 0.000 0.000 1
Lu1 Lu 0.000 0.459 0.250 1
Te1 Te 0.000 0.087 0.250 1
Te2 Te 0.000 0.358 0.038 1
Pb1 Pb 0.000 0.209 0.750 1
# electronic total energy = -4.5691 eV per atom
# M_tot = 0.013 μB/f.u.
# crystal system = orthorhombic